No. 1
VASP calculation (GGA-PBE) on crystalline Mg2ZrCd at its relaxed geometry.

Output
total moment: 0.00 μB per formula unit
crystal system: monoclinic
SG: Pm (6)
energy of formation from the pure elements: -0.033 eV per atom

```
Mg2ZrCd
1.0
-1.9637 4.2807 -0.6322
-1.1155 -0.0934 2.8328
4.5114 2.5852 3.4913
Mg Zr Cd
2 1 1
direct
0.0000 0.8095 0.0077
0.5000 0.1951 0.2360
0.0000 0.5528 0.5180
0.5000 0.9426 0.7383
```


No. 2
VASP calculation (GGA-PBE) on crystalline ScUSe2N at its relaxed geometry.

Output
total moment: 1.55 μB per formula unit
crystal system: tetragonal
ΔE_f (raw): -1.5667 eV per atom
SG: P4/nmm (129)

```
ScUSe2N
1.0
3.8253 0.0000 0.0000
0.0000 3.8253 0.0000
0.0000 0.0000 13.6351
Sc U Se N
2 2 4 2
direct
0.5000 0.0000 0.1016
0.0000 0.5000 0.8984
0.5000 0.0000 0.5869
0.0000 0.5000 0.4131
0.0000 0.5000 0.6995
0.0000 0.5000 0.1021
0.5000 0.0000 0.8979
0.5000 0.0000 0.3005
0.0000 0.0000 0.5000
0.5000 0.5000 0.5000
```


No. 3
VASP calculation (GGA-PBE) on crystalline MgFeTc2 at its relaxed geometry.

Output
total moment: 1.35 μB per formula unit
crystal system: tetragonal
SG: P4/mmm (123)
energy of formation from the pure elements: 0.217 eV per atom

```
MgFeTc2
1.0
2.6886 0.0000 0.0000
0.0000 2.6886 0.0000
0.0000 0.0000 7.9853
Fe Mg Tc
1 1 2
direct
0.5000 0.5000 0.2500
0.5000 0.5000 0.7500
0.0000 0.0000 0.0297
0.0000 0.0000 0.4703
```


Which of these has the highest total moment? ScUSe2N